No. 1
A relaxed ZrU2Ni2S6 crystal. Source: Alexandria via LeMat-Bulk, functional GGA-PBE.

Calculated values
As for the space group: P-3. The formation energy without anion corrections comes out at -0.915 eV/atom.

Geometry as POSCAR:
```
ZrU2Ni2S6
1.0
6.832 0.000 0.000
-3.416 5.917 0.000
0.000 0.000 5.403
Zr U Ni S
1 2 2 6
Direct
0.000 0.000 0.000
0.333 0.667 0.350
0.667 0.333 0.650
0.333 0.667 0.894
0.667 0.333 0.106
0.278 0.345 0.733
0.067 0.722 0.733
0.655 0.933 0.733
0.722 0.655 0.267
0.933 0.278 0.267
0.345 0.067 0.267
```

---

No. 2
A relaxed CdIn4I6 crystal. Source: Alexandria via LeMat-Bulk, functional GGA-PBE.

Calculated values
As for the space group: P4/mnc. The formation energy without anion corrections comes out at -0.483 eV/atom.

Geometry as POSCAR:
```
CdIn4I6
1.0
9.157 0.000 0.000
0.000 9.157 0.000
0.000 0.000 9.948
Cd In I
2 8 12
Direct
0.000 0.000 0.000
0.500 0.500 0.500
0.851 0.649 0.750
0.851 0.649 0.250
0.649 0.149 0.750
0.649 0.149 0.250
0.149 0.351 0.250
0.149 0.351 0.750
0.351 0.851 0.250
0.351 0.851 0.750
0.854 0.307 0.000
0.146 0.693 0.000
0.693 0.854 0.000
0.000 0.000 0.292
0.193 0.646 0.500
0.646 0.807 0.500
0.000 0.000 0.708
0.500 0.500 0.208
0.807 0.354 0.500
0.354 0.193 0.500
0.500 0.500 0.792
0.307 0.146 0.000
```

---

No. 3
A relaxed BaSi crystal. Source: Alexandria via LeMat-Bulk, functional GGA-PBE.

Calculated values
As for the space group: I4/mmm. The formation energy without anion corrections comes out at -0.279 eV/atom.

Geometry as POSCAR:
```
BaSi
1.0
-0.170 0.207 -12.289
-0.880 -12.259 -0.194
-4.097 0.293 0.062
Ba Si
8 8
Direct
0.765 0.500 0.000
0.235 0.500 0.000
0.500 0.235 0.000
0.500 0.765 0.000
0.265 0.000 0.500
0.735 0.000 0.500
0.000 0.735 0.500
0.000 0.265 0.500
0.212 0.212 0.000
0.212 0.788 0.000
0.788 0.212 0.000
0.788 0.788 0.000
0.712 0.712 0.500
0.712 0.288 0.500
0.288 0.712 0.500
0.288 0.288 0.500
```

---

No. 4
A relaxed LiLaTc crystal. Source: Alexandria via LeMat-Bulk, functional GGA-PBE.

Calculated values
For the energy relative to the lowest polymorph listed for this composition, the calculation gives 280 meV/atom. As for the space group: Fmm2. The value obtained for the formation energy is 0.43 eV per atom.

Geometry as POSCAR:
```
LiLaTc
1.0
-6.911 -0.613 -0.858
-5.996 -2.701 1.527
-1.436 2.597 1.442
La Li Tc
1 1 1
Direct
0.031 0.031 0.969
0.303 0.303 0.697
0.666 0.666 0.334
```

---

No. 5
A relaxed CrPRu crystal. Source: Alexandria via LeMat-Bulk, functional GGA-PBE.

Calculated values
As for the space group: Pmn2_1. The value obtained for the formation energy is -0.32 eV per atom.

Geometry as POSCAR:
```
CrPRu
1.0
-1.550 2.288 0.879
-5.213 -2.571 -2.497
-0.782 -1.914 3.604
Cr P Ru
2 2 2
Direct
0.000 0.030 0.619
0.500 0.970 0.119
0.000 0.270 0.220
0.500 0.730 0.720
0.000 0.639 0.305
0.500 0.361 0.805
```

---

No. 6
A relaxed ZnCu2Se crystal. Source: Alexandria via LeMat-Bulk, functional GGA-PBE.

Calculated values
For the energy relative to the lowest polymorph listed for this composition, the calculation gives 19 meV/atom. As for the space group: Pmm2. The formation energy without anion corrections comes out at 0.038 eV/atom.

Geometry as POSCAR:
```
ZnCu2Se
1.0
3.634 0.000 0.000
0.000 2.797 -0.010
0.000 0.017 6.167
Cu Se Zn
2 1 1
Direct
0.000 0.000 0.012
0.500 0.501 0.202
0.000 0.499 0.484
0.500 0.500 0.802
```

---

No. 7
A relaxed AcTbNd5Ho2 crystal. Source: Alexandria via LeMat-Bulk, functional GGA-PBE.

Calculated values
As for the space group: Cmc2_1. The value obtained for the formation energy is 0.14 eV per atom.

Geometry as POSCAR:
```
AcTbNd5Ho2
1.0
-4.599 1.079 2.972
-3.928 -8.675 -8.168
2.366 -6.863 6.151
Ac Tb Nd Ho
2 2 10 4
Direct
0.602 0.204 0.926
0.398 0.796 0.426
0.763 0.526 0.535
0.237 0.474 0.035
0.394 0.788 0.031
0.741 0.483 0.860
0.476 0.951 0.754
0.310 0.620 0.723
0.010 0.019 0.536
0.606 0.212 0.531
0.259 0.517 0.360
0.524 0.049 0.254
0.690 0.380 0.223
0.990 0.981 0.036
0.888 0.776 0.785
0.174 0.347 0.675
0.112 0.224 0.285
0.826 0.653 0.175
```

---

No. 8
A relaxed RbHfSc crystal. Source: Alexandria via LeMat-Bulk, functional GGA-PBE.

Calculated values
For the energy relative to the lowest polymorph listed for this composition, the calculation gives 41 meV/atom. As for the space group: Pm. The value obtained for the formation energy is 0.41 eV per atom.

Geometry as POSCAR:
```
RbHfSc
1.0
13.495 0.000 0.007
0.000 5.051 0.000
0.271 0.000 3.337
Sc Hf Rb
2 2 2
Direct
0.993 0.500 0.862
0.791 0.500 0.428
0.056 0.000 0.341
0.870 0.000 0.902
0.274 0.500 0.774
0.578 0.000 0.000
```